(1)
DFT (PBE) results for a geometry-optimized PmZrOs2 structure.

The formation energy comes out at -0.0984 eV/atom. Its raw total energy is -9.038 eV per atom. As for the crystal system: cubic. The density of states at the Fermi level comes out at 0.801 states/eV per atom.

a = 4.787 Å, b = 4.787 Å, c = 4.787 Å
α = 60.00°, β = 60.00°, γ = 60.00°
Fractional positions:
Pm 0.000 0.000 0.000
Zr 0.500 0.500 0.500
Os 0.750 0.750 0.750
Os 0.250 0.250 0.250

***

(2)
DFT (PBE) results for a geometry-optimized Pr2Os3 structure.

The formation energy comes out at 0.3662 eV/atom. Its raw total energy is -8.283 eV per atom. As for the crystal system: monoclinic. The density of states at the Fermi level comes out at 0.568 states/eV per atom.

a = 3.382 Å, b = 3.382 Å, c = 9.727 Å
α = 79.98°, β = 79.98°, γ = 90.39°
Fractional positions:
Pr 0.597 0.597 0.804
Pr 0.403 0.403 0.196
Os 0.773 0.773 0.454
Os 0.000 0.000 0.000
Os 0.227 0.227 0.546

***

(3)
DFT (PBE) results for a geometry-optimized Pr3Os structure.

The formation energy comes out at 0.3117 eV/atom. Its raw total energy is -6.080 eV per atom. As for the crystal system: orthorhombic. The density of states at the Fermi level comes out at 0.977 states/eV per atom.

a = 3.808 Å, b = 3.461 Å, c = 9.823 Å
α = 90.00°, β = 90.00°, γ = 90.00°
Fractional positions:
Pr 0.500 0.500 0.125
Pr 0.000 0.500 0.468
Pr 0.500 0.000 0.768
Os 0.000 0.000 0.973

***

(4)
DFT (PBE) results for a geometry-optimized Pr3Os structure.

The formation energy comes out at 0.0583 eV/atom. Its raw total energy is -6.334 eV per atom. As for the crystal system: orthorhombic. The density of states at the Fermi level comes out at 0.915 states/eV per atom.

a = 3.820 Å, b = 5.698 Å, c = 6.483 Å
α = 116.07°, β = 107.14°, γ = 90.00°
Fractional positions:
Os 0.000 0.972 0.000
Pr 0.694 0.093 0.387
Pr 0.306 0.706 0.613
Pr 0.500 0.396 0.000

***

(5)
DFT (PBE) results for a geometry-optimized Pr2Os3 structure.

The formation energy comes out at -0.0460 eV/atom. Its raw total energy is -8.696 eV per atom. As for the crystal system: orthorhombic. The density of states at the Fermi level comes out at 0.679 states/eV per atom.

a = 4.415 Å, b = 5.244 Å, c = 5.891 Å
α = 116.43°, β = 112.01°, γ = 90.00°
Fractional positions:
Pr 0.194 0.694 0.387
Pr 0.806 0.306 0.613
Os 0.500 0.266 0.000
Os 0.000 0.000 0.000
Os 0.500 0.734 0.000

***

(6)
DFT (PBE) results for a geometry-optimized Pr3Os structure.

The formation energy comes out at 0.0071 eV/atom. Its raw total energy is -6.385 eV per atom. As for the crystal system: tetragonal. The density of states at the Fermi level comes out at 1.121 states/eV per atom.

a = 6.576 Å, b = 11.996 Å, c = 11.996 Å
α = 90.00°, β = 90.00°, γ = 90.00°
Fractional positions:
Os 0.756 0.803 0.935
Os 0.256 0.565 0.303
Os 0.756 0.197 0.065
Os 0.244 0.935 0.197
Os 0.744 0.303 0.435
Os 0.256 0.435 0.697
Os 0.744 0.697 0.565
Os 0.244 0.065 0.803
Pr 0.944 0.847 0.719
Pr 0.058 0.419 0.139
Pr 0.773 0.557 0.370
Pr 0.944 0.153 0.281
Pr 0.727 0.943 0.130
Pr 0.444 0.781 0.347
Pr 0.558 0.361 0.919
Pr 0.727 0.057 0.870
Pr 0.942 0.861 0.419
Pr 0.942 0.139 0.581
Pr 0.227 0.630 0.557
Pr 0.056 0.281 0.847
Pr 0.773 0.443 0.630
Pr 0.558 0.639 0.081
Pr 0.056 0.719 0.153
Pr 0.227 0.370 0.443
Pr 0.444 0.219 0.653
Pr 0.556 0.653 0.781
Pr 0.442 0.919 0.639
Pr 0.273 0.870 0.943
Pr 0.273 0.130 0.057
Pr 0.058 0.581 0.861
Pr 0.556 0.347 0.219
Pr 0.442 0.081 0.361

***

(7)
DFT (PBE) results for a geometry-optimized Pr3Os structure.

The formation energy comes out at -0.0730 eV/atom. Its raw total energy is -6.465 eV per atom. As for the crystal system: orthorhombic. The density of states at the Fermi level comes out at 0.982 states/eV per atom.

a = 6.584 Å, b = 7.528 Å, c = 9.788 Å
α = 90.00°, β = 90.00°, γ = 90.00°
Fractional positions:
Pr 0.170 0.174 0.067
Pr 0.857 0.543 0.250
Pr 0.670 0.326 0.933
Pr 0.330 0.674 0.067
Pr 0.143 0.457 0.750
Pr 0.357 0.957 0.750
Pr 0.830 0.826 0.933
Pr 0.643 0.043 0.250
Pr 0.170 0.174 0.433
Pr 0.830 0.826 0.567
Pr 0.330 0.674 0.433
Pr 0.670 0.326 0.567
Os 0.053 0.886 0.250
Os 0.447 0.386 0.250
Os 0.947 0.114 0.750
Os 0.553 0.614 0.750

***

(8)
DFT (PBE) results for a geometry-optimized Pr8Os2Pt structure.

The formation energy comes out at -0.1660 eV/atom. Its raw total energy is -6.233 eV per atom. As for the crystal system: monoclinic. The density of states at the Fermi level comes out at 1.017 states/eV per atom.

a = 6.395 Å, b = 7.789 Å, c = 7.789 Å
α = 113.20°, β = 100.81°, γ = 100.81°
Fractional positions:
Pr 0.589 0.350 0.083
Pr 0.373 0.657 0.923
Pr 0.786 0.644 0.644
Pr 0.373 0.923 0.657
Pr 0.182 0.363 0.363
Pr 0.987 0.789 0.211
Pr 0.589 0.083 0.350
Pr 0.987 0.211 0.789
Os 0.483 0.315 0.693
Os 0.483 0.693 0.315
Pt 0.167 0.006 0.006

***

(9)
DFT (PBE) results for a geometry-optimized Pr2OsPt structure.

The formation energy comes out at -0.4215 eV/atom. Its raw total energy is -7.129 eV per atom. As for the crystal system: tetragonal. The density of states at the Fermi level comes out at 0.230 states/eV per atom.

a = 3.543 Å, b = 3.543 Å, c = 7.361 Å
α = 90.00°, β = 90.00°, γ = 90.00°
Fractional positions:
Pr 0.000 0.000 0.757
Pr 0.000 0.000 0.243
Pt 0.500 0.500 0.500
Os 0.500 0.500 0.000

***

(10)
DFT (PBE) results for a geometry-optimized Pr5OsPt structure.

The formation energy comes out at -0.1830 eV/atom. Its raw total energy is -6.064 eV per atom. As for the crystal system: monoclinic. The density of states at the Fermi level comes out at 1.015 states/eV per atom.

a = 9.430 Å, b = 9.430 Å, c = 6.131 Å
α = 62.49°, β = 62.49°, γ = 77.39°
Fractional positions:
Pr 0.696 0.922 0.421
Pr 0.422 0.196 0.921
Pr 0.656 0.378 0.080
Pr 0.344 0.622 0.920
Pr 0.304 0.078 0.579
Pr 0.122 0.844 0.420
Pr 0.101 0.399 0.750
Pr 0.899 0.601 0.250
Pr 0.578 0.804 0.079
Pr 0.878 0.156 0.580
Pt 0.500 0.500 0.500
Pt 0.000 0.000 0.000
Os 0.846 0.654 0.750
Os 0.154 0.346 0.250

***

(11)
DFT (PBE) results for a geometry-optimized Pr6OsPt2 structure.

The formation energy comes out at -0.5157 eV/atom. Its raw total energy is -6.292 eV per atom. As for the crystal system: monoclinic. The density of states at the Fermi level comes out at 0.961 states/eV per atom.

a = 6.926 Å, b = 7.565 Å, c = 10.551 Å
α = 90.00°, β = 85.72°, γ = 90.00°
Fractional positions:
Os 0.500 0.500 0.000
Os 0.000 0.000 0.500
Pr 0.326 0.820 0.923
Pr 0.172 0.319 0.933
Pr 0.828 0.681 0.067
Pr 0.826 0.680 0.423
Pr 0.162 0.049 0.250
Pr 0.662 0.451 0.750
Pr 0.674 0.180 0.077
Pr 0.672 0.181 0.433
Pr 0.338 0.549 0.250
Pr 0.838 0.951 0.750
Pr 0.174 0.320 0.577
Pr 0.328 0.819 0.567
Pt 0.555 0.886 0.270
Pt 0.445 0.114 0.730
Pt 0.945 0.386 0.230
Pt 0.055 0.614 0.770

***

(12)
DFT (PBE) results for a geometry-optimized Pr8OsPt2 structure.

The formation energy comes out at -0.3379 eV/atom. Its raw total energy is -5.933 eV per atom. As for the crystal system: monoclinic. The density of states at the Fermi level comes out at 1.042 states/eV per atom.

a = 6.562 Å, b = 7.802 Å, c = 7.802 Å
α = 112.17°, β = 102.20°, γ = 102.20°
Fractional positions:
Pr 0.985 0.193 0.804
Pr 0.797 0.652 0.652
Pr 0.179 0.352 0.352
Pr 0.351 0.656 0.919
Pr 0.594 0.351 0.087
Pr 0.351 0.919 0.656
Pr 0.594 0.087 0.351
Pr 0.985 0.804 0.193
Os 0.194 0.006 0.006
Pt 0.485 0.324 0.690
Pt 0.485 0.690 0.324

***

(13)
DFT (PBE) results for a geometry-optimized PrPuOs structure.

The formation energy comes out at 0.0490 eV/atom. Its raw total energy is -10.065 eV per atom. As for the crystal system: orthorhombic. The density of states at the Fermi level comes out at 2.180 states/eV per atom.

a = 4.053 Å, b = 5.981 Å, c = 6.556 Å
α = 90.00°, β = 90.00°, γ = 90.00°
Fractional positions:
Pu 0.624 0.955 0.776
Pu 0.624 0.455 0.465
Os 0.124 0.692 0.668
Os 0.124 0.217 0.668
Pr 0.624 0.455 0.985
Pr 0.124 0.955 0.256

***

(14)
DFT (PBE) results for a geometry-optimized Pr2Pu3Os2 structure.

The formation energy comes out at -0.0291 eV/atom. Its raw total energy is -10.745 eV per atom. As for the crystal system: monoclinic. The density of states at the Fermi level comes out at 2.530 states/eV per atom.

a = 4.082 Å, b = 6.111 Å, c = 8.372 Å
α = 113.96°, β = 90.00°, γ = 109.51°
Fractional positions:
Os 0.851 0.701 0.767
Os 0.149 0.299 0.233
Pr 0.845 0.690 0.197
Pr 0.155 0.310 0.803
Pu 0.500 0.000 0.000
Pu 0.379 0.758 0.560
Pu 0.621 0.242 0.440

***

(15)
DFT (PBE) results for a geometry-optimized PrPuOs structure.

The formation energy comes out at 0.1327 eV/atom. Its raw total energy is -9.981 eV per atom. As for the crystal system: cubic. The density of states at the Fermi level comes out at 3.338 states/eV per atom.

a = 4.848 Å, b = 4.848 Å, c = 4.848 Å
α = 60.00°, β = 60.00°, γ = 60.00°
Fractional positions:
Pr 0.000 0.000 0.000
Pu 0.500 0.500 0.500
Os 0.250 0.250 0.250

***

(16)
DFT (PBE) results for a geometry-optimized PrPuOs structure.

The formation energy comes out at 0.0947 eV/atom. Its raw total energy is -10.019 eV per atom. As for the crystal system: tetragonal. The density of states at the Fermi level comes out at 1.917 states/eV per atom.

a = 3.614 Å, b = 3.614 Å, c = 6.129 Å
α = 107.15°, β = 107.15°, γ = 90.00°
Fractional positions:
Pu 0.294 0.294 0.589
Pr 0.008 0.008 0.016
Os 0.698 0.698 0.395

***

(17)
DFT (PBE) results for a geometry-optimized Pr2PuOs structure.

The formation energy comes out at 0.3884 eV/atom. Its raw total energy is -8.392 eV per atom. As for the crystal system: trigonal. The density of states at the Fermi level comes out at 3.302 states/eV per atom.

a = 3.972 Å, b = 3.972 Å, c = 9.790 Å
α = 78.30°, β = 78.30°, γ = 60.00°
Fractional positions:
Pu 0.000 0.000 0.000
Os 0.500 0.500 0.500
Pr 0.225 0.225 0.325
Pr 0.775 0.775 0.675

***

(18)
DFT (PBE) results for a geometry-optimized PrPuOs structure.

The formation energy comes out at -0.0596 eV/atom. Its raw total energy is -10.173 eV per atom. As for the crystal system: orthorhombic. The density of states at the Fermi level comes out at 2.165 states/eV per atom.

a = 4.425 Å, b = 8.615 Å, c = 7.724 Å
α = 90.00°, β = 90.00°, γ = 90.00°
Fractional positions:
Os 0.250 0.388 0.716
Os 0.750 0.888 0.784
Os 0.750 0.612 0.284
Os 0.250 0.112 0.216
Pr 0.250 0.673 0.981
Pr 0.750 0.173 0.519
Pr 0.250 0.827 0.481
Pr 0.750 0.327 0.019
Pu 0.750 0.573 0.651
Pu 0.250 0.073 0.849
Pu 0.250 0.427 0.349
Pu 0.750 0.927 0.151

***

(19)
DFT (PBE) results for a geometry-optimized PrPuOs structure.

The formation energy comes out at -0.0069 eV/atom. Its raw total energy is -10.121 eV per atom. As for the crystal system: monoclinic. The density of states at the Fermi level comes out at 2.433 states/eV per atom.

a = 4.309 Å, b = 6.310 Å, c = 11.961 Å
α = 98.34°, β = 90.00°, γ = 109.96°
Fractional positions:
Pr 0.914 0.828 0.349
Pr 0.588 0.175 0.177
Pr 0.412 0.825 0.823
Pr 0.086 0.172 0.651
Pu 0.788 0.576 0.609
Pu 0.857 0.714 0.052
Pu 0.143 0.286 0.948
Pu 0.212 0.424 0.391
Os 0.728 0.455 0.842
Os 0.272 0.545 0.158
Os 0.408 0.816 0.557
Os 0.592 0.184 0.443

***

(20)
DFT (PBE) results for a geometry-optimized PrPuZnOs structure.

The formation energy comes out at 0.0088 eV/atom. Its raw total energy is -7.895 eV per atom. As for the crystal system: cubic. The density of states at the Fermi level comes out at 2.433 states/eV per atom.

a = 5.006 Å, b = 5.006 Å, c = 5.006 Å
α = 60.00°, β = 60.00°, γ = 60.00°
Fractional positions:
Zn 0.000 0.000 0.000
Os 0.500 0.500 0.500
Pu 0.750 0.750 0.750
Pr 0.250 0.250 0.250

***

(21)
DFT (PBE) results for a geometry-optimized Pr4OsRh structure.

The formation energy comes out at -0.2748 eV/atom. Its raw total energy is -6.558 eV per atom. As for the crystal system: monoclinic. The density of states at the Fermi level comes out at 0.856 states/eV per atom.

a = 6.467 Å, b = 7.795 Å, c = 8.235 Å
α = 113.96°, β = 108.16°, γ = 99.86°
Fractional positions:
Rh 0.612 0.362 0.725
Rh 0.388 0.638 0.275
Pr 0.205 0.305 0.349
Pr 0.636 0.370 0.134
Pr 0.364 0.630 0.866
Pr 0.795 0.695 0.651
Pr 0.644 0.044 0.349
Pr 0.997 0.764 0.134
Pr 0.003 0.236 0.866
Pr 0.356 0.956 0.651
Os 0.253 0.003 0.005
Os 0.747 0.997 0.995

***

(22)
DFT (PBE) results for a geometry-optimized Pr4OsRh structure.

The formation energy comes out at -0.2421 eV/atom. Its raw total energy is -6.525 eV per atom. As for the crystal system: orthorhombic. The density of states at the Fermi level comes out at 0.536 states/eV per atom.

a = 7.057 Å, b = 7.057 Å, c = 8.673 Å
α = 114.73°, β = 114.73°, γ = 88.41°
Fractional positions:
Pr 0.992 0.747 0.000
Pr 0.746 0.992 0.499
Pr 0.491 0.747 0.000
Pr 0.509 0.253 0.000
Pr 0.253 0.508 0.499
Pr 0.008 0.253 0.000
Pr 0.747 0.492 0.501
Pr 0.254 0.008 0.501
Os 0.375 0.625 0.250
Os 0.625 0.375 0.750
Rh 0.875 0.125 0.250
Rh 0.125 0.875 0.750

***

(23)
DFT (PBE) results for a geometry-optimized Pr8OsRh2 structure.

The formation energy comes out at -0.1991 eV/atom. Its raw total energy is -6.033 eV per atom. As for the crystal system: monoclinic. The density of states at the Fermi level comes out at 0.999 states/eV per atom.

a = 6.513 Å, b = 7.780 Å, c = 7.780 Å
α = 114.03°, β = 101.77°, γ = 101.77°
Fractional positions:
Rh 0.481 0.692 0.320
Rh 0.481 0.320 0.692
Pr 0.988 0.798 0.198
Pr 0.175 0.351 0.351
Pr 0.590 0.088 0.353
Pr 0.988 0.198 0.798
Pr 0.590 0.353 0.088
Pr 0.361 0.656 0.918
Pr 0.361 0.918 0.656
Pr 0.799 0.654 0.654
Os 0.185 0.006 0.006